# Pa3Ni2C4

An optimized crystal structure of Pa3Ni2C4 (GGA-PBE, the Alexandria database).

abc: 3.5110 6.2911 11.9395
angles: 90.00 90.00 90.00
Space group Immm (No. 71)
Asymmetric unit:
Pa1 0.0000 0.0000 0.0000 [2 per cell]
Pa2 0.0000 0.5000 0.1986 [4 per cell]
Ni1 0.0000 0.1778 0.5000 [4 per cell]
C1 0.0000 0.2759 0.3539 [8 per cell]

## Properties
For the magnetization, the calculation gives 0.00 Bohr magnetons per cell. Its crystal system is orthorhombic. For the density of states at the Fermi level, the calculation gives 0.955 states/eV per atom. The calculated total energy is -8.62 eV per atom. The formation enthalpy at 0 K comes out at -71.9 meV per atom.